Record 1
## NbRuCl3 (PBE-GGA)

Data for a relaxed NbRuCl3 crystal.

Cell: 4.7464 4.7464 4.7464 Å, 90.00 90.00 90.00°
Closest atoms and distances in Å follow each position.
Fractional coordinates of all 5 atoms:
Cl 0.0000 0.0000 0.5000  2 Ru 2.37
Nb 0.5000 0.5000 0.5000  12 Cl 3.36
Ru 0.0000 0.0000 0.0000  6 Cl 2.37
Cl 0.5000 0.0000 0.0000  2 Ru 2.37
Cl 0.0000 0.5000 0.0000  2 Ru 2.37

## Properties
- Formation energy from raw total energies: 592.2 meV per atom
- Crystal system: cubic
- DOS(E_F): 8.2 states/eV/cell

Record 2
## Nb3RuCl (PBE-GGA)

Data for a relaxed Nb3RuCl crystal.

Cell: 4.8774 4.8774 4.8774 Å, 90.00 90.00 90.00°
Closest atoms and distances in Å follow each position.
Fractional coordinates of all 5 atoms:
Nb 0.5000 0.0000 0.0000  2 Ru 2.44
Cl 0.5000 0.5000 0.5000  12 Nb 3.45
Nb 0.0000 0.5000 0.0000  2 Ru 2.44
Nb 0.0000 0.0000 0.5000  2 Ru 2.44
Ru 0.0000 0.0000 0.0000  6 Nb 2.44

## Properties
- Formation energy from raw total energies: 1119.2 meV per atom
- Crystal system: cubic
- DOS(E_F): 5.3 states/eV/cell

Record 3
## NbRuCl3 (PBE-GGA)

Data for a relaxed NbRuCl3 crystal.

Cell: 4.8577 4.8577 4.8577 Å, 90.00 90.00 90.00°
Closest atoms and distances in Å follow each position.
Fractional coordinates of all 5 atoms:
Ru 0.5000 0.5000 0.5000  12 Cl 3.43
Nb 0.0000 0.0000 0.0000  6 Cl 2.43
Cl 0.0000 0.0000 0.5000  2 Nb 2.43
Cl 0.5000 0.0000 0.0000  2 Nb 2.43
Cl 0.0000 0.5000 0.0000  2 Nb 2.43

## Properties
- Formation energy from raw total energies: 650.8 meV per atom
- Crystal system: cubic
- DOS(E_F): 18.5 states/eV/cell

Record 4
## Nb3RuCl (PBE-GGA)

Data for a relaxed Nb3RuCl crystal.

Cell: 4.5036 4.5036 4.5036 Å, 90.00 90.00 90.00°
Closest atoms and distances in Å follow each position.
Fractional coordinates of all 5 atoms:
Nb 0.0000 0.5000 0.0000  2 Cl 2.25
Nb 0.0000 0.0000 0.5000  2 Cl 2.25
Cl 0.0000 0.0000 0.0000  6 Nb 2.25
Ru 0.5000 0.5000 0.5000  12 Nb 3.18
Nb 0.5000 0.0000 0.0000  2 Cl 2.25

## Properties
- Formation energy from raw total energies: 802.0 meV per atom
- Crystal system: cubic
- DOS(E_F): 8.0 states/eV/cell